1.
! Sc2NiH (PBE, optimized geometry); values from VASP
&SYSTEM
  ibrav = 0, nat = 4, ntyp = 3
/
ATOMIC_SPECIES
Sc 44.96 Sc.upf
Ni 58.69 Ni.upf
H 1.01 H.upf
CELL_PARAMETERS angstrom
0.000 3.094 3.094
3.094 0.000 3.094
3.094 3.094 0.000
ATOMIC_POSITIONS crystal
Sc 0.750 0.750 0.750
Sc 0.250 0.250 0.250
Ni 0.500 0.500 0.500
H 0.000 0.000 0.000
! - Crystal system: cubic
! - Excess energy over the best structure of this formula in the dataset: 380 meV per atom

2.
! Ti4Mn (PBE, optimized geometry); values from VASP
&SYSTEM
  ibrav = 0, nat = 10, ntyp = 2
/
ATOMIC_SPECIES
Ti 47.87 Ti.upf
Mn 54.94 Mn.upf
CELL_PARAMETERS angstrom
5.314 0.000 0.000
0.000 5.314 0.000
0.000 0.000 5.655
ATOMIC_POSITIONS crystal
Ti 0.377 0.773 0.154
Ti 0.273 0.877 0.654
Ti 0.727 0.123 0.654
Ti 0.123 0.273 0.346
Ti 0.227 0.377 0.846
Ti 0.623 0.227 0.154
Ti 0.773 0.623 0.846
Ti 0.877 0.727 0.346
Mn 0.000 0.000 0.000
Mn 0.500 0.500 0.500
! - Crystal system: tetragonal
! - Excess energy over the best structure of this formula in the dataset: 23 meV per atom
! - Calculated formation energy: 0.0450 eV/atom

3.
! Pm2Mn12Ge7 (PBE, optimized geometry); values from VASP
&SYSTEM
  ibrav = 0, nat = 21, ntyp = 3
/
ATOMIC_SPECIES
Mn 54.94 Mn.upf
Pm 145.00 Pm.upf
Ge 72.64 Ge.upf
CELL_PARAMETERS angstrom
3.689 0.000 0.000
0.000 8.612 -4.972
0.000 0.000 9.944
ATOMIC_POSITIONS crystal
Mn 0.000 0.289 0.057
Mn 0.500 0.380 0.286
Mn 0.000 0.054 0.547
Mn 0.500 0.714 0.094
Mn 0.000 0.943 0.232
Mn 0.000 0.494 0.946
Mn 0.000 0.768 0.711
Mn 0.500 0.558 0.761
Mn 0.500 0.239 0.797
Mn 0.500 0.906 0.620
Mn 0.500 0.203 0.442
Mn 0.000 0.453 0.506
Pm 0.500 0.000 0.000
Pm 0.000 0.667 0.333
Ge 0.000 0.054 0.795
Ge 0.500 0.626 0.542
Ge 0.000 0.741 0.946
Ge 0.500 0.458 0.084
Ge 0.500 0.916 0.374
Ge 0.000 0.205 0.259
Ge 0.000 0.333 0.667
! - Crystal system: hexagonal
! - Calculated formation energy: -0.2052 eV/atom

4.
! Cs2Ce2S5 (PBE, optimized geometry); values from VASP
&SYSTEM
  ibrav = 0, nat = 18, ntyp = 3
/
ATOMIC_SPECIES
S 32.06 S.upf
Ce 140.12 Ce.upf
Cs 132.91 Cs.upf
CELL_PARAMETERS angstrom
7.811 0.000 0.000
0.000 7.805 0.000
0.000 -3.902 8.472
ATOMIC_POSITIONS crystal
S 0.142 0.256 0.797
S 0.000 0.000 0.000
S 0.500 0.500 0.000
S 0.358 0.959 0.203
S 0.142 0.459 0.203
S 0.358 0.756 0.797
S 0.642 0.244 0.203
S 0.858 0.541 0.797
S 0.858 0.744 0.203
S 0.642 0.041 0.797
Ce 0.333 0.167 0.000
Ce 0.833 0.333 0.000
Ce 0.167 0.667 0.000
Ce 0.667 0.833 0.000
Cs 0.000 0.794 0.588
Cs 0.500 0.706 0.412
Cs 0.000 0.206 0.412
Cs 0.500 0.294 0.588
! - Crystal system: orthorhombic
! - Energy: -97.67 eV/cell

Number 1: magnetization 0.0 μB/cell. Number 2: magnetization 0.0 μB/cell. Number 3: magnetization 26.3 μB/cell. Number 4: magnetization 0.0 μB/cell.